K3Te4Pd4 | GGA-PBE | optimized geometry

Cell lengths 7.328, 7.328, 7.328 Å; angles 109.47, 109.47, 109.47 degrees
Fractional coordinates of all 11 atoms:
K 0.000 0.500 0.500
K 0.500 0.000 0.500
K 0.500 0.500 0.000
Te 0.000 0.000 0.372
Te 0.000 0.372 0.000
Te 0.372 0.000 0.000
Te 0.628 0.628 0.628
Pd 0.000 0.000 0.738
Pd 0.000 0.738 0.000
Pd 0.262 0.262 0.262
Pd 0.738 0.000 0.000

Formation energy (no corrections) in eV per atom: -0.570

BaLi4CdIn2 | GGA-PBE | optimized geometry

Cell lengths 10.287, 10.287, 10.287 Å; angles 26.86, 26.86, 26.86 degrees
Fractional coordinates of all 8 atoms:
Ba 0.000 0.000 0.000
Li 0.136 0.136 0.136
Li 0.411 0.411 0.411
Li 0.589 0.589 0.589
Li 0.864 0.864 0.864
Cd 0.500 0.500 0.500
In 0.239 0.239 0.239
In 0.761 0.761 0.761

ΔH_f (0 K) in eV/atom: -0.229

CaLa3In | GGA-PBE | optimized geometry

Cell lengths 5.785, 5.785, 5.785 Å; angles 90.00, 90.00, 90.00 degrees
Fractional coordinates of all 5 atoms:
Ca 0.000 0.000 0.000
La 0.000 0.000 0.500
La 0.000 0.500 0.000
La 0.500 0.000 0.000
In 0.500 0.500 0.500

ΔH_f (0 K) in eV/atom: 0.677
Energy above the lowest structure with this stoichiometry in meV/atom: 451.8